*P*
Below is an optimized crystal structure of LiVRe2, with properties calculated at the PBE level.

extended XYZ file:
```
4
Lattice="-1.5655 2.1356 0.3502 -1.1184 1.1965 -2.1099 -8.6693 -4.7217 0.2273" Properties=species:S:1:pos:R:3 pbc="T T T"
V 0.0000 0.0000 0.0000
Li -5.6766 -0.6948 -0.7662
Re -4.6783 1.8360 -1.5509
Re -6.6749 -3.2255 0.0185
```

The size of the total moment is 0.0 μB/f.u. The space group is No. 166.

*Q*
Below is an optimized crystal structure of LiVRe2, with properties calculated at the PBE level.

extended XYZ file:
```
4
Lattice="0.0000 2.9943 2.9943 2.9943 0.0000 2.9943 2.9943 2.9943 0.0000" Properties=species:S:1:pos:R:3 pbc="T T T"
Re 4.4914 4.4914 4.4914
Re 1.4971 1.4971 1.4971
Li 0.0000 0.0000 0.0000
V 2.9943 2.9943 2.9943
```

The size of the total moment is 0.0 μB/f.u. The space group is No. 225.

*R*
Below is an optimized crystal structure of LiVRe2, with properties calculated at the PBE level.

extended XYZ file:
```
8
Lattice="-6.2955 -1.5950 1.9155 -0.2180 -4.8310 -4.7392 -2.3067 -4.9225 0.2871" Properties=species:S:1:pos:R:3 pbc="T T T"
Re -4.1703 -6.0503 -0.7931
Re -4.6056 -2.8483 0.6970
Re -1.4329 -4.4324 -2.6711
Re -7.4317 -9.3660 -2.3058
Li -2.8907 -6.4833 -2.9319
Li -3.2568 -3.2130 -1.4118
V -5.9295 -4.8652 0.3954
V 0.0000 0.0000 0.0000
```

The size of the total moment is 0.0 μB/f.u. The space group is No. 122.

Stability order, top to bottom: *Q*, *P*, *R*

*P*
Below is an optimized crystal structure of LiReW2, with properties calculated at the PBE level.

extended XYZ file:
```
4
Lattice="-3.6118 7.6016 4.9554 -5.9964 6.6376 3.9206 -4.9812 5.5847 6.2758" Properties=species:S:1:pos:R:3 pbc="T T T"
W -0.0526 0.0714 0.0546
W -7.2422 9.8405 7.5213
Re -10.9421 14.8679 11.3638
Li -3.6474 4.9560 3.7879
```

The size of the total moment is 0.0 μB/f.u. The space group is No. 166.

*Q*
Below is an optimized crystal structure of LiReW2, with properties calculated at the PBE level.

extended XYZ file:
```
4
Lattice="-0.7935 0.7437 -2.4727 -1.5745 -1.9761 0.9556 -5.6641 6.3092 3.7151" Properties=species:S:1:pos:R:3 pbc="T T T"
Re -5.4321 4.1157 2.0277
W -5.6166 6.2562 3.6839
W -2.8796 3.2076 1.8887
Li -2.6000 0.9611 0.1702
```

The size of the total moment is 0.0 μB/f.u. The space group is No. 65.

*R*
Below is an optimized crystal structure of LiReW2, with properties calculated at the PBE level.

extended XYZ file:
```
4
Lattice="-1.4575 3.6863 -1.9289 0.9488 -0.8454 -2.3326 -4.2003 -2.5575 -1.7139" Properties=species:S:1:pos:R:3 pbc="T T T"
Re -3.1674 -0.7091 -3.9993
Li -1.5416 0.9924 -1.9761
W -1.6292 -1.6875 -1.9939
W 0.0034 -0.0140 -0.0293
```

The size of the total moment is 0.0 μB/f.u. The space group is No. 10.

Stability order, top to bottom: *R*, *Q*, *P*

*P*
Below is an optimized crystal structure of LiReW2, with properties calculated at the PBE level.

extended XYZ file:
```
4
Lattice="4.7039 -0.0074 -0.0006 3.9774 2.5114 -0.0006 0.3045 0.0878 5.1570" Properties=species:S:1:pos:R:3 pbc="T T T"
W 0.0094 0.0027 0.0257
W 6.7196 1.9382 3.8023
Re 2.2509 0.6492 1.3300
Li 4.4987 1.2976 2.5758
```

The size of the total moment is 0.0 μB/f.u. The space group is No. 8.

*Q*
Below is an optimized crystal structure of LiReW2, with properties calculated at the PBE level.

extended XYZ file:
```
4
Lattice="2.6348 0.0000 0.0000 0.0000 2.6348 0.0000 0.0000 0.0000 9.0880" Properties=species:S:1:pos:R:3 pbc="T T T"
W 1.3174 1.3174 2.2571
W 0.0000 0.0000 9.0512
Li 0.0000 0.0000 4.6093
Re 1.3174 1.3174 6.8024
```

The size of the total moment is 0.0 μB/f.u. The space group is No. 99.

Stability order, top to bottom: *P*, *Q*

*P*
Below is an optimized crystal structure of Li2ReW2, with properties calculated at the PBE level.

extended XYZ file:
```
5
Lattice="3.6766 0.0000 0.0000 0.0000 3.6766 0.0000 1.8383 1.8383 5.0348" Properties=species:S:1:pos:R:3 pbc="T T T"
W 3.6766 1.8383 2.5174
W 1.8383 3.6766 2.5174
Li 1.8383 1.8383 0.8222
Li 3.6766 3.6766 4.2126
Re 0.0000 0.0000 0.0000
```

The size of the total moment is 0.0 μB/f.u. The space group is No. 139.

*Q*
Below is an optimized crystal structure of Li2ReW2, with properties calculated at the PBE level.

extended XYZ file:
```
10
Lattice="-3.8133 -4.3406 -2.7193 4.6412 -1.4940 -4.1236 1.0840 -2.2208 2.0247" Properties=species:S:1:pos:R:3 pbc="T T T"
Re 0.4140 -2.9173 -3.4215
Re 0.0000 0.0000 0.0000
W 0.2158 -2.7486 -0.6098
W -1.1054 -5.1074 -2.4896
W 3.0174 -2.9481 -2.3286
W 1.6962 -5.3068 -4.2084
Li -0.5354 -4.7653 -4.9401
Li 1.3633 -1.0693 -1.9028
Li -1.8129 -2.8310 -2.1345
Li 2.6408 -3.0037 -4.7084
```

The size of the total moment is 0.0 μB/f.u. The space group is No. 127.

Stability order, top to bottom: *Q*, *P*

*P*
Below is an optimized crystal structure of LiYRe2, with properties calculated at the PBE level.

extended XYZ file:
```
4
Lattice="-3.2569 -3.3273 1.1790 2.3306 -2.0993 0.5136 0.7568 0.8539 4.5004" Properties=species:S:1:pos:R:3 pbc="T T T"
Li 0.6871 -2.5977 4.3500
Re 2.8932 -1.1104 4.8588
Re 1.7379 -0.7578 2.6623
Y -0.8566 -1.9750 1.8430
```

The size of the total moment is 0.0 μB/f.u. The space group is No. 10.

*Q*
Below is an optimized crystal structure of LiYRe2, with properties calculated at the PBE level.

extended XYZ file:
```
8
Lattice="3.8396 0.0000 0.0000 0.0000 3.8396 0.0000 1.9198 1.9198 9.9768" Properties=species:S:1:pos:R:3 pbc="T T T"
Re 1.1238 0.9599 2.4942
Re 2.7158 2.8797 2.4942
Re 4.7995 3.0436 7.4826
Re 2.8797 4.6356 7.4826
Y 0.0000 0.0000 0.0000
Y 3.8396 1.9198 4.9884
Li 1.9198 1.9198 0.0000
Li 1.9198 3.8396 4.9884
```

The size of the total moment is 0.0 μB/f.u. The space group is No. 122.

Stability order, top to bottom: *P*, *Q*

*P*
Below is an optimized crystal structure of LiYRe2, with properties calculated at the PBE level.

extended XYZ file:
```
4
Lattice="0.2430 -2.6048 3.7676 -3.8385 -1.6130 1.9245 -0.9797 -4.4747 -0.2384" Properties=species:S:1:pos:R:3 pbc="T T T"
Y -2.2876 -4.3463 2.7269
Re -1.1438 -2.1731 1.3634
Re -3.4314 -6.5194 4.0903
Li 0.0000 0.0000 0.0000
```

The size of the total moment is 0.0 μB/f.u. The space group is No. 225.

*Q*
Below is an optimized crystal structure of LiYRe2, with properties calculated at the PBE level.

extended XYZ file:
```
4
Lattice="-0.6087 -4.3951 1.4009 -0.2707 -1.4590 -4.4100 3.6218 2.2909 1.8123" Properties=species:S:1:pos:R:3 pbc="T T T"
Y -0.4426 -2.9461 -1.5143
Re 1.2599 -2.6943 0.7625
Re -0.8620 -5.7384 -2.9496
Li 1.4680 -0.9657 -2.0090
```

The size of the total moment is 0.0 μB/f.u. The space group is No. 44.

Stability order, top to bottom: *Q*, *P*